Computed, not measured: an optimized crystal structure of Hf2NbCd2 at the PBE-GGA level of DFT.

## Properties
The spin magnetization is 0.00 μB/f.u. As for the energy relative to the elements: 0.334 eV per atom. For the energy above the most stable polymorph in this dataset, the calculation gives 284 meV per atom.

Unit cell a=7.939 b=7.939 c=3.363 alpha=90.00 beta=90.00 gamma=90.00
Fractional coordinates of all 10 atoms:
1 Hf 0.180 0.320 0.000
2 Hf 0.320 0.820 0.000
3 Hf 0.680 0.180 0.000
4 Hf 0.820 0.680 0.000
5 Nb 0.000 0.000 0.500
6 Nb 0.500 0.500 0.500
7 Cd 0.123 0.623 0.500
8 Cd 0.377 0.123 0.500
9 Cd 0.623 0.877 0.500
10 Cd 0.877 0.377 0.500

***

Computed, not measured: an optimized crystal structure of CePmRu at the PBE-GGA level of DFT.

## Properties
The spin magnetization is 0.00 μB/f.u. As for the energy relative to the elements: -0.220 eV per atom. For the energy above the most stable polymorph in this dataset, the calculation gives 0 meV per atom.

Unit cell a=5.158 b=3.961 c=7.502 alpha=90.00 beta=91.66 gamma=90.00
Fractional coordinates of all 6 atoms:
1 Ce 0.232 0.250 0.468
2 Ce 0.768 0.750 0.532
3 Pm 0.250 0.750 0.874
4 Pm 0.750 0.250 0.126
5 Ru 0.329 0.750 0.261
6 Ru 0.671 0.250 0.739

***

Computed, not measured: an optimized crystal structure of In2Fe2Sn at the PBE-GGA level of DFT.

## Properties
The spin magnetization is 4.06 μB/f.u. As for the energy relative to the elements: 0.232 eV per atom.

Unit cell a=6.748 b=6.748 c=4.126 alpha=90.00 beta=90.00 gamma=90.00
Fractional coordinates of all 10 atoms:
1 In 0.164 0.336 0.000
2 In 0.336 0.836 0.000
3 In 0.664 0.164 0.000
4 In 0.836 0.664 0.000
5 Fe 0.126 0.626 0.500
6 Fe 0.374 0.126 0.500
7 Fe 0.626 0.874 0.500
8 Fe 0.874 0.374 0.500
9 Sn 0.000 0.000 0.500
10 Sn 0.500 0.500 0.500